{
  "formula": "RbPm2ZnO5",
  "functional": "PBE",
  "state": "optimized geometry",
  "lattice": [[-3.4018, 3.4018, 5.8653], [3.4018, -3.4018, 5.8653], [3.4018, 3.4018, -5.8653]],
  "species": ["Rb", "Rb", "Pm", "Pm", "Pm", "Pm", "Zn", "Zn", "O", "O", "O", "O", "O", "O", "O", "O", "O", "O"],
  "frac_coords": [[0.2500, 0.2500, 0.0000], [0.7500, 0.7500, 0.0000], [0.1732, 0.6732, 0.8464], [0.3268, 0.1732, 0.5000], [0.6732, 0.8268, 0.5000], [0.8268, 0.3268, 0.1536], [0.2500, 0.7500, 0.5000], [0.7500, 0.2500, 0.5000], [0.0000, 0.0000, 0.0000], [0.0129, 0.2404, 0.5000], [0.2404, 0.7404, 0.2275], [0.2596, 0.4871, 0.5000], [0.4871, 0.9871, 0.2275], [0.5000, 0.5000, 0.0000], [0.5129, 0.0129, 0.7725], [0.7404, 0.5129, 0.5000], [0.7596, 0.2596, 0.7725], [0.9871, 0.7596, 0.5000]],
  "dft_energy_ev_per_cell": -115.1,
  "formation_energy_uncorrected_ev_per_atom": -2.333
}


{
  "formula": "GaSnI2O",
  "functional": "PBE",
  "state": "optimized geometry",
  "lattice": [[6.2284, 0.0000, 0.0000], [0.0000, 6.2284, 0.0000], [0.0000, 0.0000, 4.0838]],
  "species": ["Ga", "Sn", "I", "I", "O"],
  "frac_coords": [[0.0000, 0.0000, 0.0000], [0.5000, 0.5000, 0.5000], [0.0000, 0.5000, 0.5000], [0.5000, 0.0000, 0.5000], [0.5000, 0.5000, 0.0000]],
  "dft_energy_ev_per_cell": -17.3,
  "relative_energy_mev_per_atom": 0,
  "formation_energy_uncorrected_ev_per_atom": -0.438
}


{
  "formula": "TbTmCd6",
  "functional": "PBE",
  "state": "optimized geometry",
  "lattice": [[4.8712, 0.0000, 0.0000], [0.0000, 3.5822, 5.4155], [0.0000, -3.5822, 5.4155]],
  "species": ["Tb", "Tm", "Cd", "Cd", "Cd", "Cd", "Cd", "Cd"],
  "frac_coords": [[0.0000, 0.0000, 0.0000], [0.5000, 0.7322, 0.7322], [0.0000, 0.0535, 0.4884], [0.0000, 0.4884, 0.0535], [0.0000, 0.5426, 0.5426], [0.5000, 0.1919, 0.1919], [0.5000, 0.2452, 0.6766], [0.5000, 0.6766, 0.2452]],
  "dft_energy_ev_per_cell": -16.8,
  "e_form_ev_per_fu": -2.16
}


{
  "formula": "ZnRuSe2",
  "functional": "PBE",
  "state": "optimized geometry",
  "lattice": [[3.1942, -1.8413, 0.0000], [3.1942, 1.8413, 0.0000], [-2.1632, 0.0000, 6.3334]],
  "species": ["Zn", "Ru", "Se", "Se"],
  "frac_coords": [[0.0000, 0.0000, 0.0000], [0.5000, 0.5000, 0.5000], [0.2417, 0.2417, 0.7200], [0.7583, 0.7583, 0.2800]],
  "dft_energy_ev_per_cell": -17.9,
  "formation_energy_uncorrected_ev_per_atom": -0.092
}


{
  "formula": "BeIrF",
  "functional": "PBE",
  "state": "optimized geometry",
  "lattice": [[5.8310, 0.0000, 0.0000], [0.0000, 4.3985, 0.0000], [0.0000, 0.0000, 6.5798]],
  "species": ["Be", "Be", "Be", "Be", "Ir", "Ir", "Ir", "Ir", "F", "F", "F", "F"],
  "frac_coords": [[0.1203, 0.2500, 0.0942], [0.3797, 0.7500, 0.5942], [0.6203, 0.2500, 0.4058], [0.8797, 0.7500, 0.9058], [0.0063, 0.2500, 0.4357], [0.4937, 0.7500, 0.9357], [0.5063, 0.2500, 0.0643], [0.9937, 0.7500, 0.5643], [0.0400, 0.7500, 0.0847], [0.4600, 0.2500, 0.5847], [0.5400, 0.7500, 0.4153], [0.9600, 0.2500, 0.9153]],
  "dft_energy_ev_per_cell": -66.7,
  "relative_energy_mev_per_atom": 686,
  "formation_energy_uncorrected_ev_per_atom": -0.738
}


{
  "formula": "Pm3Y7Sc",
  "functional": "PBE",
  "state": "optimized geometry",
  "lattice": [[7.0702, 0.0000, 0.0000], [-3.5351, 6.1230, 0.0000], [0.0000, 0.0000, 8.6182]],
  "species": ["Pm", "Pm", "Pm", "Y", "Y", "Y", "Y", "Y", "Y", "Y", "Sc"],
  "frac_coords": [[0.0023, 0.5011, 0.0000], [0.4989, 0.5011, 0.0000], [0.4989, 0.9977, 0.0000], [0.1685, 0.3370, 0.3422], [0.1685, 0.8315, 0.3422], [0.3351, 0.1675, 0.6678], [0.6630, 0.8315, 0.3422], [0.6667, 0.3333, 0.3391], [0.8325, 0.1675, 0.6678], [0.8325, 0.6649, 0.6678], [0.3333, 0.6667, 0.6648]],
  "dft_energy_ev_per_cell": -63.8,
  "e_form_ev_per_fu": 2.07,
  "relative_energy_mev_per_atom": 34
}


{
  "formula": "Hf2NbOs2",
  "functional": "PBE",
  "state": "optimized geometry",
  "lattice": [[7.4474, 0.0000, 0.0000], [0.0000, 7.4474, 0.0000], [0.0000, 0.0000, 3.3222]],
  "species": ["Hf", "Hf", "Hf", "Hf", "Nb", "Nb", "Os", "Os", "Os", "Os"],
  "frac_coords": [[0.1594, 0.3406, 0.0000], [0.3406, 0.8406, 0.0000], [0.6594, 0.1594, 0.0000], [0.8406, 0.6594, 0.0000], [0.0000, 0.0000, 0.5000], [0.5000, 0.5000, 0.5000], [0.1407, 0.6407, 0.5000], [0.3593, 0.1407, 0.5000], [0.6407, 0.8593, 0.5000], [0.8593, 0.3593, 0.5000]],
  "dft_energy_ev_per_cell": -106.1,
  "e_form_ev_per_fu": -0.63
}


{
  "formula": "NaVSiBi2",
  "functional": "PBE",
  "state": "optimized geometry",
  "lattice": [[5.5535, 0.0000, 0.0000], [0.0000, 5.5535, 0.0000], [0.0000, 0.0000, 4.7552]],
  "species": ["Na", "V", "Si", "Bi", "Bi"],
  "frac_coords": [[0.0000, 0.0000, 0.0000], [0.5000, 0.5000, 0.0000], [0.5000, 0.5000, 0.5000], [0.0000, 0.5000, 0.5000], [0.5000, 0.0000, 0.5000]],
  "dft_energy_ev_per_cell": -21.2,
  "formation_energy_uncorrected_ev_per_atom": 0.489
}


{
  "formula": "DyCd3",
  "functional": "PBE",
  "state": "optimized geometry",
  "lattice": [[3.5703, -5.4489, 0.0000], [3.5703, 5.4489, 0.0000], [0.0000, 0.0000, 4.8862]],
  "species": ["Dy", "Dy", "Cd", "Cd", "Cd", "Cd", "Cd", "Cd"],
  "frac_coords": [[0.1356, 0.8644, 0.7500], [0.8644, 0.1356, 0.2500], [0.1887, 0.3774, 0.7500], [0.3256, 0.6744, 0.2500], [0.3774, 0.1887, 0.2500], [0.6226, 0.8114, 0.7500], [0.6744, 0.3256, 0.7500], [0.8114, 0.6226, 0.2500]],
  "dft_energy_ev_per_cell": -16.9,
  "e_form_ev_per_fu": -1.12
}


{
  "formula": "PrPuAu",
  "functional": "PBE",
  "state": "optimized geometry",
  "lattice": [[-1.8562, 1.8562, 6.0563], [1.8562, -1.8562, 6.0563], [1.8562, 1.8562, -6.0563]],
  "species": ["Pr", "Pu", "Au"],
  "frac_coords": [[0.0000, 0.0000, 0.0000], [0.7067, 0.7067, 0.0000], [0.3479, 0.3479, 0.0000]],
  "dft_energy_ev_per_cell": -23.2,
  "e_form_ev_per_fu": -0.82,
  "relative_energy_mev_per_atom": 0
}


{
  "formula": "Tb2Dy3Y6Er",
  "functional": "PBE",
  "state": "optimized geometry",
  "lattice": [[3.0814, -5.3309, 0.0000], [3.0814, 5.3309, 0.0000], [-2.0425, 0.0000, 11.6081]],
  "species": ["Tb", "Tb", "Dy", "Dy", "Dy", "Y", "Y", "Y", "Y", "Y", "Y", "Er"],
  "frac_coords": [[0.1666, 0.8334, 0.0000], [0.8334, 0.1666, 0.0000], [0.0000, 0.0000, 0.5000], [0.3335, 0.6665, 0.5000], [0.6665, 0.3335, 0.5000], [0.0833, 0.4164, 0.7499], [0.2506, 0.2506, 0.2501], [0.4164, 0.0833, 0.7499], [0.5836, 0.9167, 0.2501], [0.7494, 0.7494, 0.7499], [0.9167, 0.5836, 0.2501], [0.5000, 0.5000, 0.0000]],
  "dft_energy_ev_per_cell": -66.2,
  "e_form_ev_per_fu": 0.25
}


{
  "formula": "NdSmErAg",
  "functional": "PBE",
  "state": "optimized geometry",
  "lattice": [[0.0000, 3.8577, 3.8577], [3.8577, 0.0000, 3.8577], [3.8577, 3.8577, 0.0000]],
  "species": ["Nd", "Sm", "Er", "Ag"],
  "frac_coords": [[0.0000, 0.0000, 0.0000], [0.5000, 0.5000, 0.5000], [0.7500, 0.7500, 0.7500], [0.2500, 0.2500, 0.2500]],
  "dft_energy_ev_per_cell": -16.7,
  "e_form_ev_per_fu": 0.22,
  "relative_energy_mev_per_atom": 184
}